# SbPdIO2 meta-GGA SCAN PBEsol geometry
data_SbPdIO2
_symmetry_space_group_name_H-M 'P 4/m m m'
_symmetry_Int_Tables_number 123
_symmetry_space_group_name_Hall '-P 4 2'
_cell_length_a 3.9056
_cell_length_b 3.9056
_cell_length_c 6.3975
_cell_angle_alpha 90.00
_cell_angle_beta 90.00
_cell_angle_gamma 90.00
loop_
_atom_site_label
_atom_site_fract_x
_atom_site_fract_y
_atom_site_fract_z
Sb1 0.0000 0.0000 0.0000
Pd1 0.5000 0.5000 0.5000
I1 0.0000 0.0000 0.5000
O1 0.0000 0.5000 0.0000
# Relative energy among the computed polymorphs   0.0 meV per atom
# Density   6.6 g cm⁻³
# Formation energy (no corrections)   -0.40 eV/atom